Compound: NdCoOs
Source: Alexandria via LeMat-Bulk
Functional: PBE
Structure: optimized geometry

Unit cell a=5.350 b=5.442 c=4.801 alpha=90.00 beta=123.86 gamma=90.00
Site moments in Bohr magnetons follow the coordinates.
Fractional coordinates of all 6 atoms:
Nd 0.350 0.750 0.699  -0.10
Nd 0.650 0.250 0.301  -0.10
Co 0.257 0.250 0.514  1.21
Co 0.743 0.750 0.486  1.21
Os 0.000 0.000 0.000  0.42
Os 0.000 0.500 0.000  0.42

Output
As for the formation energy: 367 meV per atom. The calculation puts the excess energy over the best structure of this formula in the dataset at 1.35 eV/f.u. Its density is 11.26 g cm⁻³.

---

Compound: NdCoOs
Source: Alexandria via LeMat-Bulk
Functional: PBE
Structure: optimized geometry

Unit cell a=5.120 b=5.339 c=5.339 alpha=61.90 beta=61.35 gamma=61.35
Site moments in Bohr magnetons follow the coordinates.
Fractional coordinates of all 6 atoms:
Nd 0.878 0.372 0.372  -0.09
Nd 0.122 0.628 0.628  -0.09
Co 0.500 0.500 0.000  1.05
Co 0.500 0.000 0.500  1.05
Os 0.000 0.000 0.000  0.22
Os 0.500 0.000 0.000  0.22

Output
As for the formation energy: -85 meV per atom. The calculation puts the excess energy over the best structure of this formula in the dataset at 0.00 eV/f.u. Its density is 12.24 g cm⁻³.

---

Compound: Nd6Co2Os
Source: Alexandria via LeMat-Bulk
Functional: PBE
Structure: optimized geometry

Unit cell a=8.432 b=8.432 c=8.432 alpha=108.61 beta=109.51 gamma=110.30
Fractional coordinates of all 18 atoms:
Nd 0.434 0.260 0.175
Nd 0.566 0.740 0.825
Nd 0.915 0.740 0.175
Nd 0.085 0.260 0.825
Nd 0.182 0.738 0.920
Nd 0.818 0.262 0.080
Nd 0.818 0.738 0.556
Nd 0.182 0.262 0.444
Nd 0.316 0.987 0.671
Nd 0.684 0.013 0.329
Nd 0.684 0.355 0.671
Nd 0.316 0.645 0.329
Co 0.500 0.389 0.889
Co 0.500 0.611 0.111
Co 0.331 0.000 0.331
Co 0.669 0.000 0.669
Os 0.000 0.500 0.500
Os 0.000 0.000 0.000

Output
As for the formation energy: -28 meV per atom. Its density is 8.45 g cm⁻³.

---

Compound: Nd3Co3Os
Source: Alexandria via LeMat-Bulk
Functional: PBE
Structure: optimized geometry

Unit cell a=4.102 b=6.201 c=12.399 alpha=86.18 beta=80.44 gamma=70.68
Site moments in Bohr magnetons follow the coordinates.
Fractional coordinates of all 14 atoms:
Nd 0.507 0.352 0.633  0.01
Nd 0.493 0.648 0.367  0.01
Nd 0.257 0.248 0.238  -0.03
Nd 0.743 0.752 0.762  -0.03
Nd 0.402 0.272 0.924  -0.09
Nd 0.598 0.728 0.076  -0.09
Co 0.887 0.687 0.538  -0.47
Co 0.113 0.313 0.462  -0.47
Co 0.085 0.910 0.919  0.72
Co 0.915 0.090 0.081  0.72
Co 0.912 0.924 0.253  0.43
Co 0.088 0.076 0.747  0.43
Os 0.750 0.062 0.439  -0.03
Os 0.250 0.938 0.561  -0.03

Output
As for the formation energy: -13 meV per atom. Its density is 9.05 g cm⁻³.

---

Compound: Nd8Co2Os
Source: Alexandria via LeMat-Bulk
Functional: PBE
Structure: optimized geometry

Unit cell a=6.428 b=7.573 c=7.573 alpha=114.13 beta=100.80 gamma=100.80
Fractional coordinates of all 11 atoms:
Nd 0.585 0.355 0.085
Nd 0.585 0.085 0.355
Nd 0.178 0.355 0.355
Nd 0.988 0.203 0.794
Nd 0.988 0.794 0.203
Nd 0.798 0.649 0.649
Nd 0.370 0.922 0.656
Nd 0.370 0.656 0.922
Co 0.481 0.695 0.318
Co 0.481 0.318 0.695
Os 0.175 0.002 0.002

Output
As for the formation energy: 38 meV per atom. Its density is 7.69 g cm⁻³.

---

Compound: NdCo2Os
Source: Alexandria via LeMat-Bulk
Functional: PBE
Structure: optimized geometry

Unit cell a=4.161 b=4.161 c=5.464 alpha=67.62 beta=67.62 gamma=60.00
Site moments in Bohr magnetons follow the coordinates.
Fractional coordinates of all 4 atoms:
Nd 0.000 0.000 0.000  -0.10
Os 0.500 0.500 0.500  0.52
Co 0.808 0.808 0.576  1.08
Co 0.192 0.192 0.424  1.08

Output
As for the formation energy: 2 meV per atom. The calculation puts the excess energy over the best structure of this formula in the dataset at 0.00 eV/f.u. Its density is 10.21 g cm⁻³.

---

Compound: Nd2CoOs2
Source: Alexandria via LeMat-Bulk
Functional: PBE
Structure: optimized geometry

Unit cell a=5.052 b=4.461 c=5.769 alpha=67.26 beta=64.04 gamma=90.00
Site moments in Bohr magnetons follow the coordinates.
Fractional coordinates of all 5 atoms:
Nd 0.689 0.189 0.621  -0.05
Nd 0.311 0.811 0.379  -0.05
Co 0.000 0.000 0.000  1.20
Os 0.254 0.500 0.000  0.12
Os 0.746 0.500 0.000  0.12

Output
As for the formation energy: -80 meV per atom. Its density is 11.45 g cm⁻³.

---

Compound: NdCoP2Os
Source: Alexandria via LeMat-Bulk
Functional: PBE
Structure: optimized geometry

Unit cell a=3.863 b=3.863 c=6.201 alpha=108.15 beta=108.15 gamma=90.00
Fractional coordinates of all 5 atoms:
Nd 0.000 0.000 0.000
Co 0.750 0.250 0.500
P 0.639 0.639 0.278
P 0.361 0.361 0.722
Os 0.250 0.750 0.500

Output
As for the formation energy: -847 meV per atom. Its density is 9.10 g cm⁻³.

---

Compound: PrNdCoOs
Source: Alexandria via LeMat-Bulk
Functional: PBE
Structure: optimized geometry

Unit cell a=4.142 b=4.142 c=7.511 alpha=90.03 beta=105.96 gamma=120.02
Site moments in Bohr magnetons follow the coordinates.
Fractional coordinates of all 4 atoms:
Pr 0.995 0.862 0.857  0.00
Nd 0.349 0.039 0.388  0.01
Co 0.510 0.620 0.130  0.62
Os 0.838 0.283 0.121  0.20

Output
As for the formation energy: -61 meV per atom. Its density is 8.39 g cm⁻³.

---

Compound: NdCoSi2Os
Source: Alexandria via LeMat-Bulk
Functional: PBE
Structure: optimized geometry

Unit cell a=4.076 b=4.076 c=5.771 alpha=110.68 beta=110.68 gamma=90.00
Fractional coordinates of all 5 atoms:
Nd 0.000 0.000 0.000
Co 0.750 0.250 0.500
Si 0.631 0.631 0.263
Si 0.369 0.369 0.737
Os 0.250 0.750 0.500

Output
As for the total energy: -7.523 eV per atom. Its density is 8.99 g cm⁻³.

---

Compound: NdCo3P2
Source: Alexandria via LeMat-Bulk
Functional: PBE
Structure: optimized geometry

Unit cell a=3.739 b=7.379 c=6.972 alpha=113.65 beta=90.00 gamma=104.68
Fractional coordinates of all 12 atoms:
Nd 0.848 0.696 0.934
Nd 0.152 0.304 0.066
Co 0.316 0.632 0.564
Co 0.957 0.914 0.630
Co 0.594 0.189 0.667
Co 0.406 0.811 0.333
Co 0.043 0.086 0.370
Co 0.684 0.368 0.436
P 0.479 0.958 0.800
P 0.521 0.042 0.200
P 0.815 0.629 0.338
P 0.185 0.371 0.662

Output
As for the formation energy: -802 meV per atom. Its density is 7.51 g cm⁻³.

---

Compound: Nd2Co3P4
Source: Alexandria via LeMat-Bulk
Functional: PBE
Structure: optimized geometry

Unit cell a=5.379 b=5.379 c=6.661 alpha=101.53 beta=101.53 gamma=120.33
Site moments in Bohr magnetons follow the coordinates.
Fractional coordinates of all 9 atoms:
Nd 0.646 0.646 0.291  0.04
Nd 0.354 0.354 0.709  0.04
Co 0.500 0.000 0.000  0.77
Co 0.000 0.000 0.000  0.76
Co 0.000 0.500 0.000  0.77
P 0.026 0.706 0.732  0.01
P 0.706 0.026 0.732  0.01
P 0.974 0.294 0.268  0.01
P 0.294 0.974 0.268  0.01

Output
As for the formation energy: -770 meV per atom. Its density is 6.42 g cm⁻³.